(1)
First-principles (PBE-GGA) data for an optimized crystal structure of AsPd4Se, as listed in Alexandria via LeMat-Bulk.

## Properties
Energy relative to the elements, uncorrected, meV/atom: -215.4
Spin magnetization, μB/atom: 0.000
Theoretical density, g/cm3: 9.4
Crystal system: monoclinic
Energy above the lowest structure with this stoichiometry, eV per formula unit: 0.43

Lattice parameters (Å, degrees): 6.6309 8.7300 7.7900 90.00 114.78 90.00
With the nearest neighbours (Å) after each atom.
Space group C2/c (No. 15)
One atom of each set of equivalent atoms:
As 0.0000 0.1248 0.2500 (multiplicity 4)  8 Pd 2.60-2.65
Pd 0.0857 0.1297 0.9534 (multiplicity 8)  2 Se 2.58-2.75, 2 As 2.60-2.65, 5 Pd 2.76-2.89
Pd 0.1183 0.3797 0.4532 (multiplicity 8)  2 Se 2.58-2.74, 2 As 2.62-2.65, 5 Pd 2.77-2.89
Se 0.0000 0.3750 0.7500 (multiplicity 4)  8 Pd 2.58-2.75

(2)
First-principles (PBE-GGA) data for an optimized crystal structure of SiAs2PdSe, as listed in Alexandria via LeMat-Bulk.

## Properties
Energy relative to the elements, uncorrected, meV/atom: 754.3
Spin magnetization, μB/atom: 0.012
Theoretical density, g/cm3: 5.1
Crystal system: tetragonal
Energy above the lowest structure with this stoichiometry, eV per formula unit: 0.43

Lattice parameters (Å, degrees): 4.7891 4.7891 5.1583 90.00 90.00 90.00
With the nearest neighbours (Å) after each atom.
Space group P4/mmm (No. 123)
One atom of each set of equivalent atoms:
Si 0.0000 0.0000 0.0000 (multiplicity 1)  4 Se 3.39, 8 As 3.52
As 0.0000 0.5000 0.5000 (multiplicity 2)  2 Pd 2.39
Pd 0.5000 0.5000 0.5000 (multiplicity 1)  4 As 2.39, 2 Se 2.58
Se 0.5000 0.5000 0.0000 (multiplicity 1)  2 Pd 2.58

(3)
First-principles (PBE-GGA) data for an optimized crystal structure of SiAs2PdSe, as listed in Alexandria via LeMat-Bulk.

## Properties
Energy relative to the elements, uncorrected, meV/atom: 668.5
Spin magnetization, μB/atom: 0.000
Theoretical density, g/cm3: 5.7
Crystal system: tetragonal
Energy above the lowest structure with this stoichiometry, eV per formula unit: 0.00

Lattice parameters (Å, degrees): 4.7341 4.7341 4.7139 90.00 90.00 90.00
With the nearest neighbours (Å) after each atom.
Space group P4/mmm (No. 123)
One atom of each set of equivalent atoms:
Si 0.0000 0.0000 0.0000 (multiplicity 1)  2 Se 2.36, 4 As 2.37
As 0.0000 0.5000 0.0000 (multiplicity 2)  2 Si 2.37
Pd 0.5000 0.5000 0.5000 (multiplicity 1)  8 As 3.34, 4 Se 3.35
Se 0.0000 0.0000 0.5000 (multiplicity 1)  2 Si 2.36